# 1
Sc2PdPt (PBE-GGA, optimized geometry); calculated total energy = -6.264 eV per atom; energy relative to the lowest polymorph listed for this composition = 800 meV per atom; E_form = -28 kJ/mol of atoms; space-group type = R-3m (166); crystal system = trigonal
1.0
1.758 0.000 9.486
-0.879 1.522 9.486
-0.879 -1.522 9.486
Pd Sc Pt
1 2 1
Direct
0.500 0.500 0.500
0.911 0.911 0.911
0.089 0.089 0.089
0.000 0.000 0.000

# 2
TeIrBr2 (PBE-GGA, optimized geometry); calculated total energy = -3.385 eV per atom; ΔE_f (raw) = 0.452 eV per atom; space-group type = R-3m (166); crystal system = trigonal
1.0
1.801 0.000 12.864
-0.901 1.560 12.864
-0.901 -1.560 12.864
Ir Te Br
1 1 2
Direct
0.000 0.000 0.000
0.500 0.500 0.500
0.061 0.061 0.061
0.939 0.939 0.939

# 3
LaPmTlPt (PBE-GGA, optimized geometry); calculated total energy = -5.139 eV per atom; E_form = -60 kJ/mol of atoms; space-group type = F-43m (216); crystal system = cubic
1.0
5.351 0.000 0.000
2.675 4.634 0.000
2.675 1.545 4.369
Pm La Pt Tl
1 1 1 1
Direct
0.000 0.000 0.000
0.500 0.500 0.500
0.750 0.750 0.750
0.250 0.250 0.250

# 4
NiAgI3 (PBE-GGA, optimized geometry); calculated total energy = -1.932 eV per atom; energy relative to the lowest polymorph listed for this composition = 492 meV per atom; ΔE_f (raw) = 0.725 eV per atom; space-group type = Pm-3m (221); crystal system = cubic
1.0
-4.376 3.512 0.955
-3.639 -4.243 -1.069
0.053 -1.432 5.508
Ni Ag I
1 1 3
Direct
0.500 0.500 0.500
0.000 0.000 0.000
0.500 0.000 0.000
0.000 0.500 0.000
0.000 0.000 0.500

# 5
Li2HgRu (PBE-GGA, optimized geometry); calculated total energy = -3.140 eV per atom; E_form = 20 kJ/mol of atoms; space-group type = P4mm (99); crystal system = tetragonal
1.0
-1.258 -1.527 2.262
1.498 -2.469 -0.833
5.276 1.802 4.150
Li Ru Hg
2 1 1
Direct
0.000 0.000 0.015
0.500 0.500 0.251
0.000 0.000 0.473
0.500 0.500 0.761

# 6
NaNd2Pt (PBE-GGA, optimized geometry); calculated total energy = -4.621 eV per atom; E_form = -38 kJ/mol of atoms; space-group type = R-3m (166); crystal system = trigonal
1.0
4.217 0.000 0.000
2.109 3.652 0.000
2.109 1.217 10.601
Pt Nd Na
1 2 1
Direct
0.500 0.500 0.500
0.881 0.881 0.358
0.119 0.119 0.642
0.000 0.000 0.000